No. 1
DFT (GGA-PBE) results for BaTbPm after structural relaxation.

CIF file:
```
data_BaTbPm
_chemical_formula_sum 'Ba1 Tb1 Pm1'
_symmetry_space_group_name_H-M 'P 1'
_symmetry_Int_Tables_number 1
_symmetry_space_group_name_Hall 'P 1'
_cell_length_a 8.751
_cell_length_b 8.751
_cell_length_c 8.751
_cell_angle_alpha 154.90
_cell_angle_beta 154.90
_cell_angle_gamma 35.80
loop_
_atom_site_label
_atom_site_fract_x
_atom_site_fract_y
_atom_site_fract_z
Ba1 0.000 0.000 0.000
Tb1 0.681 0.681 0.000
Pm1 0.317 0.317 0.000
```

Computed properties:
Density, g/cm3: 6.1
Energy of formation from the pure elements, eV per atom: 0.160
E, eV for the cell shown: -10.8

No. 2
DFT (GGA-PBE) results for BaTb2Pm after structural relaxation.

CIF file:
```
data_BaTb2Pm
_chemical_formula_sum 'Ba1 Tb2 Pm1'
_symmetry_space_group_name_H-M 'P 1'
_symmetry_Int_Tables_number 1
_symmetry_space_group_name_Hall 'P 1'
_cell_length_a 3.730
_cell_length_b 3.730
_cell_length_c 10.867
_cell_angle_alpha 90.00
_cell_angle_beta 90.00
_cell_angle_gamma 90.00
loop_
_atom_site_label
_atom_site_fract_x
_atom_site_fract_y
_atom_site_fract_z
Ba1 0.000 0.000 0.000
Tb1 0.500 0.500 0.281
Tb2 0.500 0.500 0.719
Pm1 0.000 0.000 0.500
```

Computed properties:
Density, g/cm3: 6.6
Energy of formation from the pure elements, eV per atom: 0.147
E, eV for the cell shown: -15.3

No. 3
DFT (GGA-PBE) results for BaTb2Pm after structural relaxation.

CIF file:
```
data_BaTb2Pm
_chemical_formula_sum 'Ba1 Tb2 Pm1'
_symmetry_space_group_name_H-M 'P 1'
_symmetry_Int_Tables_number 1
_symmetry_space_group_name_Hall 'P 1'
_cell_length_a 13.136
_cell_length_b 13.136
_cell_length_c 13.136
_cell_angle_alpha 15.95
_cell_angle_beta 15.95
_cell_angle_gamma 15.95
loop_
_atom_site_label
_atom_site_fract_x
_atom_site_fract_y
_atom_site_fract_z
Ba1 0.000 0.000 0.000
Tb1 0.093 0.093 0.093
Tb2 0.907 0.907 0.907
Pm1 0.500 0.500 0.500
```

Computed properties:
Density, g/cm3: 6.7
Energy of formation from the pure elements, eV per atom: 0.222
E, eV for the cell shown: -15.0

No. 4
DFT (GGA-PBE) results for BaTbPm after structural relaxation.

CIF file:
```
data_BaTbPm
_chemical_formula_sum 'Ba1 Tb1 Pm1'
_symmetry_space_group_name_H-M 'P 1'
_symmetry_Int_Tables_number 1
_symmetry_space_group_name_Hall 'P 1'
_cell_length_a 3.800
_cell_length_b 3.800
_cell_length_c 9.464
_cell_angle_alpha 90.00
_cell_angle_beta 90.00
_cell_angle_gamma 120.00
loop_
_atom_site_label
_atom_site_fract_x
_atom_site_fract_y
_atom_site_fract_z
Ba1 0.000 0.000 0.000
Tb1 0.333 0.667 0.649
Pm1 0.667 0.333 0.358
```

Computed properties:
Density, g/cm3: 6.2
Energy of formation from the pure elements, eV per atom: 0.171
E, eV for the cell shown: -10.8

No. 5
DFT (GGA-PBE) results for Ba3Tb3PmTe8 after structural relaxation.

CIF file:
```
data_Ba3Tb3PmTe8
_chemical_formula_sum 'Ba3 Tb3 Pm1 Te8'
_symmetry_space_group_name_H-M 'P 1'
_symmetry_Int_Tables_number 1
_symmetry_space_group_name_Hall 'P 1'
_cell_length_a 9.537
_cell_length_b 9.537
_cell_length_c 9.537
_cell_angle_alpha 56.60
_cell_angle_beta 56.60
_cell_angle_gamma 56.60
loop_
_atom_site_label
_atom_site_fract_x
_atom_site_fract_y
_atom_site_fract_z
Ba1 0.000 0.500 0.500
Ba2 0.500 0.000 0.500
Ba3 0.500 0.500 0.000
Tb1 0.000 0.000 0.500
Tb2 0.000 0.500 0.000
Tb3 0.500 0.000 0.000
Pm1 0.500 0.500 0.500
Te1 0.231 0.745 0.745
Te2 0.239 0.239 0.239
Te3 0.255 0.255 0.769
Te4 0.255 0.769 0.255
Te5 0.745 0.231 0.745
Te6 0.745 0.745 0.231
Te7 0.761 0.761 0.761
Te8 0.769 0.255 0.255
```

Computed properties:
Density, g/cm3: 6.0
Raw formation energy, eV/f.u.: -23.2
E, eV for the cell shown: -72.8

No. 6
DFT (GGA-PBE) results for BaPm2Tc after structural relaxation.

CIF file:
```
data_BaPm2Tc
_chemical_formula_sum 'Ba1 Pm2 Tc1'
_symmetry_space_group_name_H-M 'P 1'
_symmetry_Int_Tables_number 1
_symmetry_space_group_name_Hall 'P 1'
_cell_length_a 3.596
_cell_length_b 3.596
_cell_length_c 10.201
_cell_angle_alpha 90.00
_cell_angle_beta 90.00
_cell_angle_gamma 90.00
loop_
_atom_site_label
_atom_site_fract_x
_atom_site_fract_y
_atom_site_fract_z
Ba1 0.000 0.000 0.000
Pm1 0.500 0.500 0.337
Pm2 0.500 0.500 0.663
Tc1 0.000 0.000 0.500
```

Computed properties:
Density, g/cm3: 6.6
Energy of formation from the pure elements, eV per atom: 0.151
E, eV for the cell shown: -21.2

No. 7
DFT (GGA-PBE) results for BaPm3Tc after structural relaxation.

CIF file:
```
data_BaPm3Tc
_chemical_formula_sum 'Ba1 Pm3 Tc1'
_symmetry_space_group_name_H-M 'P 1'
_symmetry_Int_Tables_number 1
_symmetry_space_group_name_Hall 'P 1'
_cell_length_a 5.646
_cell_length_b 5.646
_cell_length_c 5.646
_cell_angle_alpha 90.00
_cell_angle_beta 90.00
_cell_angle_gamma 90.00
loop_
_atom_site_label
_atom_site_fract_x
_atom_site_fract_y
_atom_site_fract_z
Ba1 0.000 0.000 0.000
Pm1 0.000 0.500 0.500
Pm2 0.500 0.000 0.500
Pm3 0.500 0.500 0.000
Tc1 0.500 0.500 0.500
```

Computed properties:
Density, g/cm3: 6.2
Energy of formation from the pure elements, eV per atom: 0.128
E, eV for the cell shown: -25.9

No. 8
DFT (GGA-PBE) results for BaPm6Te8 after structural relaxation.

CIF file:
```
data_BaPm6Te8
_chemical_formula_sum 'Ba1 Pm6 Te8'
_symmetry_space_group_name_H-M 'P 1'
_symmetry_Int_Tables_number 1
_symmetry_space_group_name_Hall 'P 1'
_cell_length_a 8.512
_cell_length_b 8.512
_cell_length_c 8.512
_cell_angle_alpha 90.65
_cell_angle_beta 90.65
_cell_angle_gamma 90.65
loop_
_atom_site_label
_atom_site_fract_x
_atom_site_fract_y
_atom_site_fract_z
Ba1 0.000 0.000 0.000
Pm1 0.194 0.408 0.568
Pm2 0.408 0.568 0.194
Pm3 0.432 0.806 0.592
Pm4 0.568 0.194 0.408
Pm5 0.592 0.432 0.806
Pm6 0.806 0.592 0.432
Te1 0.136 0.733 0.374
Te2 0.244 0.244 0.244
Te3 0.267 0.626 0.864
Te4 0.374 0.136 0.733
Te5 0.626 0.864 0.267
Te6 0.733 0.374 0.136
Te7 0.756 0.756 0.756
Te8 0.864 0.267 0.626
```

Computed properties:
Density, g/cm3: 5.5
Raw formation energy, eV/f.u.: -19.1
E, eV for the cell shown: -74.6

No. 9
DFT (GGA-PBE) results for BaPmTe2 after structural relaxation.

CIF file:
```
data_BaPmTe2
_chemical_formula_sum 'Ba1 Pm1 Te2'
_symmetry_space_group_name_H-M 'P 1'
_symmetry_Int_Tables_number 1
_symmetry_space_group_name_Hall 'P 1'
_cell_length_a 8.336
_cell_length_b 8.336
_cell_length_c 8.336
_cell_angle_alpha 32.34
_cell_angle_beta 32.34
_cell_angle_gamma 32.34
loop_
_atom_site_label
_atom_site_fract_x
_atom_site_fract_y
_atom_site_fract_z
Ba1 0.000 0.000 0.000
Pm1 0.500 0.500 0.500
Te1 0.241 0.241 0.241
Te2 0.759 0.759 0.759
```

Computed properties:
Density, g/cm3: 6.1
Raw formation energy, eV/f.u.: -6.3
E, eV for the cell shown: -19.2

No. 10
DFT (GGA-PBE) results for BaPmTe4 after structural relaxation.

CIF file:
```
data_BaPmTe4
_chemical_formula_sum 'Ba2 Pm2 Te8'
_symmetry_space_group_name_H-M 'P 1'
_symmetry_Int_Tables_number 1
_symmetry_space_group_name_Hall 'P 1'
_cell_length_a 7.060
_cell_length_b 7.060
_cell_length_c 8.506
_cell_angle_alpha 90.00
_cell_angle_beta 90.00
_cell_angle_gamma 90.00
loop_
_atom_site_label
_atom_site_fract_x
_atom_site_fract_y
_atom_site_fract_z
Ba1 0.250 0.250 0.000
Ba2 0.750 0.750 0.000
Pm1 0.250 0.250 0.500
Pm2 0.750 0.750 0.500
Te1 0.100 0.600 0.281
Te2 0.100 0.900 0.719
Te3 0.400 0.600 0.719
Te4 0.400 0.900 0.281
Te5 0.600 0.100 0.719
Te6 0.600 0.400 0.281
Te7 0.900 0.100 0.281
Te8 0.900 0.400 0.719
```

Computed properties:
Density, g/cm3: 6.2
Raw formation energy, eV/f.u.: -6.8
E, eV for the cell shown: -52.1

No. 11
DFT (GGA-PBE) results for BaPm4Te5 after structural relaxation.

CIF file:
```
data_BaPm4Te5
_chemical_formula_sum 'Ba1 Pm4 Te5'
_symmetry_space_group_name_H-M 'P 1'
_symmetry_Int_Tables_number 1
_symmetry_space_group_name_Hall 'P 1'
_cell_length_a 7.950
_cell_length_b 7.950
_cell_length_c 11.194
_cell_angle_alpha 118.36
_cell_angle_beta 118.36
_cell_angle_gamma 33.04
loop_
_atom_site_label
_atom_site_fract_x
_atom_site_fract_y
_atom_site_fract_z
Ba1 0.000 0.000 0.000
Pm1 0.198 0.198 0.781
Pm2 0.409 0.409 0.600
Pm3 0.591 0.591 0.400
Pm4 0.802 0.802 0.219
Te1 0.000 0.000 0.500
Te2 0.203 0.203 0.318
Te3 0.385 0.385 0.103
Te4 0.615 0.615 0.897
Te5 0.797 0.797 0.682
```

Computed properties:
Density, g/cm3: 6.7
Raw formation energy, eV/f.u.: -14.6
E, eV for the cell shown: -51.2

No. 12
DFT (GGA-PBE) results for BaPm3Te4 after structural relaxation.

CIF file:
```
data_BaPm3Te4
_chemical_formula_sum 'Ba1 Pm3 Te4'
_symmetry_space_group_name_H-M 'P 1'
_symmetry_Int_Tables_number 1
_symmetry_space_group_name_Hall 'P 1'
_cell_length_a 7.964
_cell_length_b 7.964
_cell_length_c 4.531
_cell_angle_alpha 90.00
_cell_angle_beta 90.00
_cell_angle_gamma 108.76
loop_
_atom_site_label
_atom_site_fract_x
_atom_site_fract_y
_atom_site_fract_z
Ba1 0.000 0.000 0.000
Pm1 0.000 0.500 0.500
Pm2 0.500 0.000 0.500
Pm3 0.500 0.500 0.000
Te1 0.258 0.742 0.000
Te2 0.266 0.266 0.500
Te3 0.734 0.734 0.500
Te4 0.742 0.258 0.000
```

Computed properties:
Density, g/cm3: 6.6
Raw formation energy, eV/f.u.: -11.7
E, eV for the cell shown: -40.4